24
Lattice="7.016 0.000 0.000 0.000 7.285 0.000 0.000 0.000 14.121" Properties=species:S:1:pos:R:3 comment="meta-GGA SCAN PrSI, PBEsol geometry" e_form_raw_ev_per_atom=-2.03 energy_ev_per_atom=-31.931 pbc="T T T"
Pr 5.208 0.223 12.947
Pr 1.808 7.061 1.174
Pr 5.316 3.865 1.174
Pr 1.808 3.419 5.886
Pr 1.700 3.419 12.947
Pr 5.208 3.865 8.234
Pr 1.700 7.061 8.234
Pr 5.316 0.223 5.886
S 0.012 1.883 7.425
S 7.004 5.401 6.695
S 3.496 5.526 6.695
S 7.004 1.759 0.365
S 3.520 1.759 7.425
S 0.012 5.526 13.755
S 3.520 5.401 13.755
S 3.496 1.883 0.365
I 5.787 2.942 11.292
I 1.229 4.343 2.828
I 4.737 6.584 2.828
I 1.229 0.700 4.232
I 2.279 0.700 11.292
I 5.787 6.584 9.889
I 2.279 4.343 9.889
I 4.737 2.942 4.232

6
Lattice="-2.606 -1.880 2.614 1.352 -1.996 -3.369 9.114 -4.138 6.110" Properties=species:S:1:pos:R:3 comment="meta-GGA SCAN PrSiI, PBEsol geometry" e_form_raw_ev_per_atom=-1.15 energy_ev_per_atom=-31.173 pbc="T T T"
Pr 1.554 -0.706 1.042
Pr 7.560 -3.433 5.068
I 4.624 -4.602 4.583
I 3.236 -3.411 0.773
Si 9.105 -6.076 4.707
Si -1.245 -1.938 0.648

16
Lattice="-3.711 0.150 5.468 1.140 -4.582 4.894 7.234 8.153 7.548" Properties=species:S:1:pos:R:3 comment="meta-GGA SCAN PtI3, PBEsol geometry" e_form_raw_ev_per_atom=-0.18 energy_ev_per_atom=-45.281 pbc="T T T"
Pt 2.279 5.388 11.536
Pt 2.384 -1.667 6.374
Pt 4.187 1.786 6.221
Pt -1.286 -2.216 5.181
I 2.125 1.382 14.148
I 6.474 3.108 11.840
I 2.537 2.339 3.762
I -1.812 0.613 6.071
I 1.955 0.888 7.264
I 0.903 -1.252 4.108
I 2.708 2.833 10.647
I 3.760 4.973 13.803
I 0.119 -2.614 7.359
I 0.897 -0.505 10.828
I 4.544 6.335 10.552
I 3.766 4.226 7.082

40
Lattice="-5.625 -1.072 -3.803 -6.737 -2.107 10.557 -3.454 15.193 0.828" Properties=species:S:1:pos:R:3 comment="meta-GGA SCAN PtI4, PBEsol geometry" e_form_raw_ev_per_atom=-0.16 energy_ev_per_atom=-43.594 pbc="T T T"
Pt -10.257 8.417 5.456
Pt -7.138 2.885 8.614
Pt -8.678 9.129 -1.033
Pt -5.559 3.597 2.125
Pt -6.285 11.507 0.969
Pt -9.531 0.507 6.612
Pt -7.953 1.219 0.123
Pt -7.863 10.795 7.458
I -4.878 1.587 3.947
I -7.509 -0.608 1.990
I -7.681 9.280 1.428
I -9.913 6.780 3.400
I -8.505 0.485 9.050
I -1.949 0.494 1.967
I -9.777 6.440 7.209
I -8.307 12.622 5.591
I -4.299 7.895 3.358
I -10.554 0.466 4.157
I -8.389 12.976 1.762
I -7.427 -0.962 5.819
I -5.902 5.234 4.181
I -8.135 2.734 6.153
I -4.910 13.681 0.333
I -12.862 7.881 5.481
I -5.373 1.865 0.104
I -6.038 5.574 0.372
I -2.954 4.133 2.100
I -4.026 9.990 0.320
I -8.162 3.127 2.158
I -6.516 7.839 -1.858
I -10.938 10.426 3.634
I -13.867 11.520 5.614
I -7.654 8.887 5.423
I -9.300 4.175 9.439
I -10.443 10.149 7.477
I -7.310 11.529 -1.469
I -11.517 4.119 4.223
I -5.262 11.547 3.424
I -10.906 -1.667 7.248
I -11.790 2.024 7.261

44
Lattice="10.675 0.000 0.000 0.000 11.507 0.000 0.000 0.000 11.507" Properties=species:S:1:pos:R:3 comment="meta-GGA SCAN Pt3I8, PBEsol geometry" e_form_raw_ev_per_atom=-0.18 energy_ev_per_atom=-46.047 pbc="T T T"
I 5.315 1.469 4.136
I 10.652 10.037 7.371
I 2.646 9.889 4.284
I 7.984 1.618 7.223
I 5.360 4.136 1.469
I 8.029 4.284 9.889
I 2.691 7.223 1.618
I 0.022 7.371 10.037
I 5.073 1.438 10.219
I 10.410 10.069 1.288
I 2.404 4.465 4.316
I 7.742 7.041 7.191
I 10.563 4.309 1.151
I 2.557 4.602 10.062
I 7.894 6.904 1.444
I 5.226 7.198 10.356
I 8.118 10.062 4.602
I 2.780 1.444 6.904
I 0.112 1.151 4.309
I 5.449 10.356 7.198
I 10.629 4.411 7.400
I 2.623 9.860 10.164
I 7.961 1.647 1.343
I 5.292 7.096 4.107
I 8.052 10.164 9.860
I 2.714 1.343 1.647
I 0.045 7.400 4.411
I 5.383 4.107 7.096
I 0.265 1.288 10.069
I 2.933 7.191 7.041
I 8.271 4.316 4.465
I 5.602 10.219 1.438
Pt 5.382 1.484 7.200
Pt 0.045 10.023 4.306
Pt 2.714 1.447 4.269
Pt 8.051 10.060 7.237
Pt 5.293 7.200 1.484
Pt 7.961 4.269 1.447
Pt 2.624 7.237 10.060
Pt 10.630 4.306 10.023
Pt 5.337 1.418 1.418
Pt 8.006 4.335 7.172
Pt 2.669 7.172 4.335
Pt 0.000 10.088 10.088

5
Lattice="5.194 0.000 0.000 0.000 5.194 0.000 0.000 0.000 5.194" Properties=species:S:1:pos:R:3 comment="meta-GGA SCAN PtRhI3, PBEsol geometry" e_form_raw_ev_per_atom=0.94 energy_ev_per_atom=-41.899 pbc="T T T"
I 0.000 2.597 0.000
I 0.000 0.000 2.597
I 2.597 0.000 0.000
Rh 0.000 0.000 0.000
Pt 2.597 2.597 2.597